(1)
# TeIr2ClO, relaxed, DFT PBE
# ΔE_f (raw) in eV per atom: 0.82
data_TeIr2ClO
_cell_length_a 3.941
_cell_length_b 3.941
_cell_length_c 7.024
_cell_angle_alpha 90.00
_cell_angle_beta 90.00
_cell_angle_gamma 90.00
_space_group_name_H-M_alt 'P 4/m m m'
_space_group_IT_number 123
_space_group_name_Hall '-P 4 2'
loop_
_atom_site_label
_atom_site_type_symbol
_atom_site_fract_x
_atom_site_fract_y
_atom_site_fract_z
Te1 Te 0.000 0.000 0.000
Ir1 Ir 0.000 0.500 0.500
Cl1 Cl 0.500 0.500 0.000
O1 O 0.000 0.000 0.500

(2)
# TiIr2ClO, relaxed, DFT PBE
# ΔE_f (raw) in eV per atom: 0.28
data_TiIr2ClO
_cell_length_a 3.906
_cell_length_b 3.906
_cell_length_c 5.210
_cell_angle_alpha 90.00
_cell_angle_beta 90.00
_cell_angle_gamma 90.00
_space_group_name_H-M_alt 'P 4/m m m'
_space_group_IT_number 123
_space_group_name_Hall '-P 4 2'
loop_
_atom_site_label
_atom_site_type_symbol
_atom_site_fract_x
_atom_site_fract_y
_atom_site_fract_z
Ti1 Ti 0.000 0.000 0.000
Ir1 Ir 0.000 0.500 0.500
Cl1 Cl 0.500 0.500 0.000
O1 O 0.500 0.500 0.500

(3)
# IrOs2Cl, relaxed, DFT PBE
# Polymorph energy (0 for the lowest one) in eV per atom: 0.000
# ΔE_f (raw) in eV per atom: 0.53
data_IrOs2Cl
_cell_length_a 2.8206
_cell_length_b 2.8206
_cell_length_c 26.0204
_cell_angle_alpha 90.00
_cell_angle_beta 90.00
_cell_angle_gamma 120.00
_space_group_name_H-M_alt 'R 3 m'
_space_group_IT_number 160
_space_group_name_Hall 'R 3 -2"'
loop_
_atom_site_label
_atom_site_type_symbol
_atom_site_fract_x
_atom_site_fract_y
_atom_site_fract_z
Ir1 Ir 0.0000 0.0000 0.0000
Os1 Os 0.0000 0.0000 0.4960
Os2 Os 0.0000 0.0000 0.7488
Cl1 Cl 0.0000 0.0000 0.2437

(4)
# IrOs2Cl, relaxed, DFT PBE
# Polymorph energy (0 for the lowest one) in eV per atom: 0.355
# ΔE_f (raw) in eV per atom: 0.89
data_IrOs2Cl
_cell_length_a 2.727
_cell_length_b 4.236
_cell_length_c 11.114
_cell_angle_alpha 90.00
_cell_angle_beta 90.00
_cell_angle_gamma 90.00
_space_group_name_H-M_alt 'I m m 2'
_space_group_IT_number 44
loop_
_space_group_symop_operation_xyz
'x,y,z'
'-x,-y,z'
'-x,y,z'
'x,-y,z'
'x+1/2,y+1/2,z+1/2'
'-x+1/2,-y+1/2,z+1/2'
'-x+1/2,y+1/2,z+1/2'
'x+1/2,-y+1/2,z+1/2'
loop_
_atom_site_label
_atom_site_type_symbol
_atom_site_fract_x
_atom_site_fract_y
_atom_site_fract_z
Ir1 Ir 0.000 0.000 0.000
Os1 Os 0.000 0.000 0.423
Os2 Os 0.000 0.500 0.721
Cl1 Cl 0.000 0.500 0.210